Entry 1:
Computed, not measured: an optimized crystal structure of Hf27P16 at the PBEsol level of DFT.

Formation energy from the elements in eV/atom: -1.17
M_tot in μB per formula unit: 0.00

Cell and atoms, written as CIF:
```
data_Hf27P16
_cell_length_a 3.500
_cell_length_b 18.409
_cell_length_c 22.838
_cell_angle_alpha 90.00
_cell_angle_beta 90.00
_cell_angle_gamma 90.00
_symmetry_space_group_name_H-M 'I m m m'
_symmetry_Int_Tables_number 71
_symmetry_space_group_name_Hall '-I 2 2'
loop_
_atom_site_label
_atom_site_fract_x
_atom_site_fract_y
_atom_site_fract_z
Hf1 0.000 0.000 0.000
Hf2 0.000 0.131 0.391
Hf3 0.000 0.133 0.183
Hf4 0.000 0.246 0.072
Hf5 0.000 0.314 0.216
Hf6 0.000 0.406 0.420
Hf7 0.000 0.416 0.000
Hf8 0.000 0.500 0.147
Hf9 0.000 0.500 0.285
P1 0.000 0.000 0.124
P2 0.000 0.000 0.440
P3 0.000 0.075 0.285
P4 0.000 0.139 0.000
P5 0.000 0.192 0.500
P6 0.000 0.269 0.343
```



Entry 2:
Computed, not measured: an optimized crystal structure of HfP3Pd at the PBEsol level of DFT.

Formation energy from the elements in eV/atom: 0.68
M_tot in μB per formula unit: 0.00

Cell and atoms, written as CIF:
```
data_HfP3Pd
_cell_length_a 4.841
_cell_length_b 4.841
_cell_length_c 4.841
_cell_angle_alpha 90.00
_cell_angle_beta 90.00
_cell_angle_gamma 90.00
_symmetry_space_group_name_H-M 'P m -3 m'
_symmetry_Int_Tables_number 221
_symmetry_space_group_name_Hall '-P 4 2 3'
loop_
_atom_site_label
_atom_site_fract_x
_atom_site_fract_y
_atom_site_fract_z
Hf1 0.000 0.000 0.000
P1 0.000 0.000 0.500
Pd1 0.500 0.500 0.500
```



Entry 3:
Computed, not measured: an optimized crystal structure of HfSi2PPd at the PBEsol level of DFT.

Energy relative to the elements, uncorrected in eV/atom: 1.2424
M_tot in μB per formula unit: 0.00

Cell and atoms, written as CIF:
```
data_HfSi2PPd
_cell_length_a 4.951
_cell_length_b 4.951
_cell_length_c 4.767
_cell_angle_alpha 90.00
_cell_angle_beta 90.00
_cell_angle_gamma 90.00
_symmetry_space_group_name_H-M 'P 4/m m m'
_symmetry_Int_Tables_number 123
_symmetry_space_group_name_Hall '-P 4 2'
loop_
_atom_site_label
_atom_site_fract_x
_atom_site_fract_y
_atom_site_fract_z
Hf1 0.000 0.000 0.000
Si1 0.000 0.500 0.000
P1 0.500 0.500 0.500
Pd1 0.000 0.000 0.500
```



Entry 4:
Computed, not measured: an optimized crystal structure of RbHf3P at the PBEsol level of DFT.

Excess energy over the best structure of this formula in the dataset in meV/atom: 0
Formation energy from the elements in eV/atom: 0.47
M_tot in μB per formula unit: 0.00

Cell and atoms, written as CIF:
```
data_RbHf3P
_cell_length_a 4.985
_cell_length_b 4.985
_cell_length_c 4.985
_cell_angle_alpha 90.00
_cell_angle_beta 90.00
_cell_angle_gamma 90.00
_symmetry_space_group_name_H-M 'P m -3 m'
_symmetry_Int_Tables_number 221
_symmetry_space_group_name_Hall '-P 4 2 3'
loop_
_atom_site_label
_atom_site_fract_x
_atom_site_fract_y
_atom_site_fract_z
Rb1 0.000 0.000 0.000
Hf1 0.000 0.500 0.500
P1 0.500 0.500 0.500
```



Please write out number 4 again, unchanged.
Computed, not measured: an optimized crystal structure of RbHf3P at the PBEsol level of DFT.

Excess energy over the best structure of this formula in the dataset in meV/atom: 0
Formation energy from the elements in eV/atom: 0.47
M_tot in μB per formula unit: 0.00

Cell and atoms, written as CIF:
```
data_RbHf3P
_cell_length_a 4.985
_cell_length_b 4.985
_cell_length_c 4.985
_cell_angle_alpha 90.00
_cell_angle_beta 90.00
_cell_angle_gamma 90.00
_symmetry_space_group_name_H-M 'P m -3 m'
_symmetry_Int_Tables_number 221
_symmetry_space_group_name_Hall '-P 4 2 3'
loop_
_atom_site_label
_atom_site_fract_x
_atom_site_fract_y
_atom_site_fract_z
Rb1 0.000 0.000 0.000
Hf1 0.000 0.500 0.500
P1 0.500 0.500 0.500
```